Crystalline AcTl2Ir2 at its relaxed geometry, computed with GGA-PBE.

The structure in CIF format:
```
data_AcTl2Ir2
_symmetry_space_group_name_H-M 'I 4/m m m'
_symmetry_Int_Tables_number 139
_symmetry_space_group_name_Hall '-I 4 2'
_cell_length_a 4.495
_cell_length_b 4.495
_cell_length_c 12.025
_cell_angle_alpha 90.00
_cell_angle_beta 90.00
_cell_angle_gamma 90.00
loop_
_atom_site_label
_atom_site_fract_x
_atom_site_fract_y
_atom_site_fract_z
_atom_site_occupancy
Ac1 0.000 0.000 0.000 1
Tl1 0.000 0.500 0.250 1
Ir1 0.000 0.000 0.399 1
```

- polymorph energy (0 for the lowest one) (meV/atom) = 0.0



Crystalline AcTmIr at its relaxed geometry, computed with GGA-PBE.

The structure in CIF format:
```
data_AcTmIr
_symmetry_space_group_name_H-M 'F -4 3 m'
_symmetry_Int_Tables_number 216
_symmetry_space_group_name_Hall 'F -4 2 3'
_cell_length_a 6.964
_cell_length_b 6.964
_cell_length_c 6.964
_cell_angle_alpha 90.00
_cell_angle_beta 90.00
_cell_angle_gamma 90.00
loop_
_atom_site_label
_atom_site_fract_x
_atom_site_fract_y
_atom_site_fract_z
_atom_site_occupancy
Ac1 0.000 0.000 0.000 1
Tm1 0.250 0.250 0.250 1
Ir1 0.250 0.250 0.750 1
```

- polymorph energy (0 for the lowest one) (meV/atom) = 298.8
- E_form (eV/atom) = 0.5054



Crystalline AcUIr at its relaxed geometry, computed with GGA-PBE.

The structure in CIF format:
```
data_AcUIr
_symmetry_space_group_name_H-M 'F -4 3 m'
_symmetry_Int_Tables_number 216
_symmetry_space_group_name_Hall 'F -4 2 3'
_cell_length_a 6.991
_cell_length_b 6.991
_cell_length_c 6.991
_cell_angle_alpha 90.00
_cell_angle_beta 90.00
_cell_angle_gamma 90.00
loop_
_atom_site_label
_atom_site_fract_x
_atom_site_fract_y
_atom_site_fract_z
_atom_site_occupancy
Ac1 0.000 0.000 0.000 1
U1 0.000 0.000 0.500 1
Ir1 0.250 0.250 0.750 1
```

- polymorph energy (0 for the lowest one) (meV/atom) = 0.0
- E_form (eV/atom) = 0.1002



Crystalline AcZnIr at its relaxed geometry, computed with GGA-PBE.

The structure in CIF format:
```
data_AcZnIr
_symmetry_space_group_name_H-M 'P n m a'
_symmetry_Int_Tables_number 62
_symmetry_space_group_name_Hall '-P 2ac 2n'
_cell_length_a 7.401
_cell_length_b 4.301
_cell_length_c 8.498
_cell_angle_alpha 90.00
_cell_angle_beta 90.00
_cell_angle_gamma 90.00
loop_
_atom_site_label
_atom_site_fract_x
_atom_site_fract_y
_atom_site_fract_z
_atom_site_occupancy
Ac1 0.029 0.250 0.190 1
Zn1 0.143 0.250 0.563 1
Ir1 0.229 0.750 0.388 1
```

- polymorph energy (0 for the lowest one) (meV/atom) = 0.0
- E_form (eV/atom) = -0.5445



Crystalline AcZnIr at its relaxed geometry, computed with GGA-PBE.

The structure in CIF format:
```
data_AcZnIr
_symmetry_space_group_name_H-M 'F -4 3 m'
_symmetry_Int_Tables_number 216
_symmetry_space_group_name_Hall 'F -4 2 3'
_cell_length_a 6.789
_cell_length_b 6.789
_cell_length_c 6.789
_cell_angle_alpha 90.00
_cell_angle_beta 90.00
_cell_angle_gamma 90.00
loop_
_atom_site_label
_atom_site_fract_x
_atom_site_fract_y
_atom_site_fract_z
_atom_site_occupancy
Ac1 0.000 0.000 0.000 1
Zn1 0.000 0.000 0.500 1
Ir1 0.250 0.250 0.750 1
```

- polymorph energy (0 for the lowest one) (meV/atom) = 228.3
- E_form (eV/atom) = -0.3162



Crystalline Ac3Zn4Ir2 at its relaxed geometry, computed with GGA-PBE.

The structure in CIF format:
```
data_Ac3Zn4Ir2
_symmetry_space_group_name_H-M 'C 1 2/m 1'
_symmetry_Int_Tables_number 12
_symmetry_space_group_name_Hall '-C 2y'
_cell_length_a 11.710
_cell_length_b 4.390
_cell_length_c 8.873
_cell_angle_alpha 90.00
_cell_angle_beta 107.49
_cell_angle_gamma 90.00
loop_
_atom_site_label
_atom_site_fract_x
_atom_site_fract_y
_atom_site_fract_z
_atom_site_occupancy
Ac1 0.000 0.000 0.000 1
Ac2 0.181 0.500 0.652 1
Zn1 0.042 0.000 0.376 1
Zn2 0.221 0.500 0.057 1
Ir1 0.112 0.500 0.273 1
```

- E_form (eV/atom) = -0.4837



Crystalline AcZnIr at its relaxed geometry, computed with GGA-PBE.

The structure in CIF format:
```
data_AcZnIr
_symmetry_space_group_name_H-M 'F -4 3 m'
_symmetry_Int_Tables_number 216
_symmetry_space_group_name_Hall 'F -4 2 3'
_cell_length_a 6.985
_cell_length_b 6.985
_cell_length_c 6.985
_cell_angle_alpha 90.00
_cell_angle_beta 90.00
_cell_angle_gamma 90.00
loop_
_atom_site_label
_atom_site_fract_x
_atom_site_fract_y
_atom_site_fract_z
_atom_site_occupancy
Ac1 0.000 0.000 0.000 1
Zn1 0.250 0.250 0.250 1
Ir1 0.250 0.250 0.750 1
```

- polymorph energy (0 for the lowest one) (meV/atom) = 859.3
- E_form (eV/atom) = 0.3148



Crystalline Ac2Zn3Ir at its relaxed geometry, computed with GGA-PBE.

The structure in CIF format:
```
data_Ac2Zn3Ir
_symmetry_space_group_name_H-M 'P m m 2'
_symmetry_Int_Tables_number 25
_symmetry_space_group_name_Hall 'P 2 -2'
_cell_length_a 4.163
_cell_length_b 4.499
_cell_length_c 7.883
_cell_angle_alpha 90.00
_cell_angle_beta 90.00
_cell_angle_gamma 90.00
loop_
_atom_site_label
_atom_site_fract_x
_atom_site_fract_y
_atom_site_fract_z
_atom_site_occupancy
Ac1 0.000 0.000 0.000 1
Ac2 0.000 0.500 0.452 1
Zn1 0.500 0.000 0.638 1
Zn2 0.500 0.500 0.140 1
Zn3 0.500 0.500 0.807 1
Ir1 0.500 0.000 0.306 1
```

- E_form (eV/atom) = -0.4408



Crystalline AcZrIr at its relaxed geometry, computed with GGA-PBE.

The structure in CIF format:
```
data_AcZrIr
_symmetry_space_group_name_H-M 'F -4 3 m'
_symmetry_Int_Tables_number 216
_symmetry_space_group_name_Hall 'F -4 2 3'
_cell_length_a 6.740
_cell_length_b 6.740
_cell_length_c 6.740
_cell_angle_alpha 90.00
_cell_angle_beta 90.00
_cell_angle_gamma 90.00
loop_
_atom_site_label
_atom_site_fract_x
_atom_site_fract_y
_atom_site_fract_z
_atom_site_occupancy
Ac1 0.000 0.000 0.000 1
Zr1 0.250 0.250 0.250 1
Ir1 0.000 0.000 0.500 1
```

- E_form (eV/atom) = 0.2165



Crystalline KAcLu at its relaxed geometry, computed with GGA-PBE.

The structure in CIF format:
```
data_KAcLu
_symmetry_space_group_name_H-M 'F -4 3 m'
_symmetry_Int_Tables_number 216
_symmetry_space_group_name_Hall 'F -4 2 3'
_cell_length_a 8.591
_cell_length_b 8.591
_cell_length_c 8.591
_cell_angle_alpha 90.00
_cell_angle_beta 90.00
_cell_angle_gamma 90.00
loop_
_atom_site_label
_atom_site_fract_x
_atom_site_fract_y
_atom_site_fract_z
_atom_site_occupancy
K1 0.000 0.000 0.000 1
Ac1 0.000 0.000 0.500 1
Lu1 0.250 0.250 0.750 1
```

- polymorph energy (0 for the lowest one) (meV/atom) = 0.0



Crystalline KAcMo at its relaxed geometry, computed with GGA-PBE.

The structure in CIF format:
```
data_KAcMo
_symmetry_space_group_name_H-M 'F -4 3 m'
_symmetry_Int_Tables_number 216
_symmetry_space_group_name_Hall 'F -4 2 3'
_cell_length_a 7.715
_cell_length_b 7.715
_cell_length_c 7.715
_cell_angle_alpha 90.00
_cell_angle_beta 90.00
_cell_angle_gamma 90.00
loop_
_atom_site_label
_atom_site_fract_x
_atom_site_fract_y
_atom_site_fract_z
_atom_site_occupancy
K1 0.000 0.000 0.000 1
Ac1 0.000 0.000 0.500 1
Mo1 0.250 0.250 0.750 1
```

- polymorph energy (0 for the lowest one) (meV/atom) = 0.0



Crystalline KAcMo2 at its relaxed geometry, computed with GGA-PBE.

The structure in CIF format:
```
data_KAcMo2
_symmetry_space_group_name_H-M 'P -6 m 2'
_symmetry_Int_Tables_number 187
_symmetry_space_group_name_Hall 'P -6 2'
_cell_length_a 3.1183
_cell_length_b 3.1183
_cell_length_c 11.8093
_cell_angle_alpha 90.00
_cell_angle_beta 90.00
_cell_angle_gamma 120.00
loop_
_atom_site_label
_atom_site_fract_x
_atom_site_fract_y
_atom_site_fract_z
_atom_site_occupancy
K1 0.0000 0.0000 0.0000 1
Ac1 0.6667 0.3333 0.5000 1
Mo1 0.0000 0.0000 0.2663 1
```



Number 1: energy -0.4005 Ry per atom, total moment 0.01 μB per cell. Number 2: energy -0.3900 Ry per atom, total moment 0.00 μB per cell. Number 3: energy -0.5869 Ry per atom, total moment 13.65 μB per cell. Number 4: energy -0.3885 Ry per atom, total moment 0.00 μB per cell. Number 5: energy -0.3718 Ry per atom, total moment 0.01 μB per cell. Number 6: energy -0.3221 Ry per atom, total moment 0.00 μB per cell. Number 7: energy -0.3254 Ry per atom, total moment 0.00 μB per cell. Number 8: energy -0.2879 Ry per atom, total moment 0.00 μB per cell. Number 9: energy -0.5110 Ry per atom, total moment 0.02 μB per cell. Number 10: energy -0.1654 Ry per atom, total moment 2.18 μB per cell. Number 11: energy -0.2828 Ry per atom, total moment 10.50 μB per cell. Number 12: energy -0.3766 Ry per atom, total moment 0.02 μB per cell.